This record from Alexandria via LeMat-Bulk describes a relaxed structure of Tb6Si2PbSe3. The functional is PBE-GGA.

Geometry as POSCAR:
```
Tb6Si2PbSe3
1.0
9.154 -2.076 0.000
9.154 2.076 0.000
-1.985 0.000 8.234
Tb Si Pb Se
6 2 1 3
Direct
0.005 0.005 0.264
0.328 0.328 0.900
0.329 0.329 0.425
0.671 0.671 0.575
0.672 0.672 0.100
0.995 0.995 0.736
0.167 0.167 0.335
0.833 0.833 0.665
0.500 0.500 0.000
0.165 0.165 0.832
0.500 0.500 0.500
0.835 0.835 0.168
```

Properties
ΔE_f (raw) in eV/atom: -1.24
Symmetry: No. 12
Total magnetization in μB per cell: 0.000